(1)
Compound: ZrTc2Te
Source: Alexandria
Functional: GGA-PBE
Structure: relaxed

crystal system	trigonal
final energy	-7.837	eV/atom
space-group type	No. 160

Unit cell a=8.733 b=8.733 c=8.733 alpha=21.15 beta=21.15 gamma=21.15
Fractional positions:
Zr: 0.000 0.000 0.000
Tc: 0.486 0.486 0.486
Tc: 0.747 0.747 0.747
Te: 0.237 0.237 0.237

(2)
Compound: ZrTcTe2
Source: Alexandria
Functional: GGA-PBE
Structure: relaxed

crystal system	orthorhombic
ΔE to the lowest computed polymorph	18.45	kJ/mol of atoms
space-group type	No. 44

Unit cell a=6.702 b=6.702 c=6.702 alpha=149.01 beta=145.14 gamma=47.32
Fractional positions:
Zr: 0.000 0.000 0.000
Tc: 0.224 0.724 0.500
Te: 0.403 0.403 0.000
Te: 0.670 0.170 0.500

(3)
Compound: ZrTcTe2
Source: Alexandria
Functional: GGA-PBE
Structure: relaxed

crystal system	trigonal
ΔE to the lowest computed polymorph	41.66	kJ/mol of atoms
space-group type	No. 166

Unit cell a=8.976 b=8.976 c=8.976 alpha=21.46 beta=21.46 gamma=21.46
Fractional positions:
Zr: 0.000 0.000 0.000
Tc: 0.500 0.500 0.500
Te: 0.242 0.242 0.242
Te: 0.758 0.758 0.758

(4)
Compound: Zr2TcTe2
Source: Alexandria
Functional: GGA-PBE
Structure: relaxed

crystal system	tetragonal
ΔE to the lowest computed polymorph	0.00	kJ/mol of atoms
space-group type	No. 127

Unit cell a=7.468 b=7.468 c=3.863 alpha=90.00 beta=90.00 gamma=90.00
Fractional positions:
Zr: 0.149 0.351 0.000
Zr: 0.351 0.851 0.000
Zr: 0.649 0.149 0.000
Zr: 0.851 0.649 0.000
Tc: 0.000 0.000 0.500
Tc: 0.500 0.500 0.500
Te: 0.156 0.656 0.500
Te: 0.344 0.156 0.500
Te: 0.656 0.844 0.500
Te: 0.844 0.344 0.500

(5)
Compound: ZrTc2Te
Source: Alexandria
Functional: GGA-PBE
Structure: relaxed

crystal system	monoclinic
final energy	-7.874	eV/atom
space-group type	No. 12

Unit cell a=5.344 b=5.344 c=3.127 alpha=104.31 beta=104.31 gamma=114.01
Fractional positions:
Zr: 0.000 0.000 0.000
Tc: 0.000 0.500 0.500
Tc: 0.500 0.000 0.500
Te: 0.500 0.500 0.000

(6)
Compound: ZrTcTe2
Source: Alexandria
Functional: GGA-PBE
Structure: relaxed

crystal system	orthorhombic
ΔE to the lowest computed polymorph	4.00	kJ/mol of atoms
space-group type	No. 71

Unit cell a=7.569 b=7.569 c=7.569 alpha=150.99 beta=147.77 gamma=43.91
Fractional positions:
Zr: 0.000 0.000 0.000
Tc: 0.500 0.500 0.000
Te: 0.354 0.854 0.500
Te: 0.646 0.146 0.500

(7)
Compound: ZrTc2Te
Source: Alexandria
Functional: GGA-PBE
Structure: relaxed

crystal system	tetragonal
final energy	-7.477	eV/atom
space-group type	No. 122

Unit cell a=6.008 b=6.008 c=6.008 alpha=102.41 beta=102.41 gamma=124.76
Fractional positions:
Zr: 0.000 0.000 0.000
Zr: 0.750 0.250 0.500
Tc: 0.130 0.625 0.005
Tc: 0.375 0.380 0.505
Tc: 0.620 0.125 0.995
Tc: 0.875 0.870 0.495
Te: 0.250 0.750 0.500
Te: 0.500 0.500 0.000

(8)
Compound: ZrTcTe2
Source: Alexandria
Functional: GGA-PBE
Structure: relaxed

crystal system	monoclinic
ΔE to the lowest computed polymorph	45.51	kJ/mol of atoms
space-group type	No. 10

Unit cell a=3.397 b=4.041 c=6.544 alpha=90.00 beta=90.30 gamma=90.00
Fractional positions:
Zr: 0.000 0.000 0.000
Tc: 0.500 0.000 0.500
Te: 0.497 0.500 0.755
Te: 0.503 0.500 0.245

(9)
Compound: Zr3TcTe
Source: Alexandria
Functional: GGA-PBE
Structure: relaxed

crystal system	cubic
ΔE to the lowest computed polymorph	86.71	kJ/mol of atoms
space-group type	No. 221

Unit cell a=5.197 b=5.197 c=5.197 alpha=90.00 beta=90.00 gamma=90.00
Fractional positions:
Zr: 0.000 0.000 0.500
Zr: 0.000 0.500 0.000
Zr: 0.500 0.000 0.000
Tc: 0.500 0.500 0.500
Te: 0.000 0.000 0.000

(10)
Compound: ZrTcTe2
Source: Alexandria
Functional: GGA-PBE
Structure: relaxed

crystal system	monoclinic
ΔE to the lowest computed polymorph	0.00	kJ/mol of atoms
space-group type	No. 6

Unit cell a=3.874 b=4.143 c=7.136 alpha=90.00 beta=90.27 gamma=90.00
Fractional positions:
Zr: 0.000 0.000 0.000
Tc: 0.500 0.500 0.010
Te: 0.503 0.000 0.289
Te: 0.997 0.500 0.726

(11)
Compound: ZrTc3Te
Source: Alexandria
Functional: GGA-PBE
Structure: relaxed

crystal system	cubic
ΔE to the lowest computed polymorph	54.74	kJ/mol of atoms
space-group type	No. 221

Unit cell a=4.853 b=4.853 c=4.853 alpha=90.00 beta=90.00 gamma=90.00
Fractional positions:
Zr: 0.000 0.000 0.000
Tc: 0.000 0.000 0.500
Tc: 0.000 0.500 0.000
Tc: 0.500 0.000 0.000
Te: 0.500 0.500 0.500

(12)
Compound: Zr2TcTe2
Source: Alexandria
Functional: GGA-PBE
Structure: relaxed

crystal system	tetragonal
ΔE to the lowest computed polymorph	56.61	kJ/mol of atoms
space-group type	No. 139

Unit cell a=7.524 b=7.524 c=7.524 alpha=146.19 beta=146.19 gamma=48.57
Fractional positions:
Zr: 0.250 0.750 0.500
Zr: 0.750 0.250 0.500
Tc: 0.000 0.000 0.000
Te: 0.388 0.388 0.000
Te: 0.612 0.612 0.000

(13)
Compound: ZrTc2Te
Source: Alexandria
Functional: GGA-PBE
Structure: relaxed

crystal system	orthorhombic
final energy	-7.708	eV/atom
space-group type	No. 65

Unit cell a=3.091 b=3.091 c=8.600 alpha=90.00 beta=90.00 gamma=114.00
Fractional positions:
Zr: 0.000 0.000 0.000
Tc: 0.500 0.500 0.247
Tc: 0.500 0.500 0.753
Te: 0.000 0.000 0.500

(14)
Compound: ZrTcTe2
Source: Alexandria
Functional: GGA-PBE
Structure: relaxed

crystal system	tetragonal
ΔE to the lowest computed polymorph	17.92	kJ/mol of atoms
space-group type	No. 123

Unit cell a=4.832 b=4.832 c=3.459 alpha=90.00 beta=90.00 gamma=90.00
Fractional positions:
Zr: 0.000 0.000 0.000
Tc: 0.500 0.500 0.000
Te: 0.000 0.500 0.500
Te: 0.500 0.000 0.500

(15)
Compound: ZrTc2Te
Source: Alexandria
Functional: GGA-PBE
Structure: relaxed

crystal system	monoclinic
final energy	-8.071	eV/atom
space-group type	No. 6

Unit cell a=3.171 b=4.699 c=5.008 alpha=90.00 beta=101.35 gamma=90.00
Fractional positions:
Zr: 0.000 0.000 0.000
Tc: 0.470 0.000 0.480
Tc: 0.844 0.500 0.301
Te: 0.481 0.500 0.751

(16)
Compound: ZrTcTe2
Source: Alexandria
Functional: GGA-PBE
Structure: relaxed

crystal system	trigonal
ΔE to the lowest computed polymorph	50.15	kJ/mol of atoms
space-group type	No. 166

Unit cell a=9.806 b=9.806 c=9.806 alpha=19.60 beta=19.60 gamma=19.60
Fractional positions:
Zr: 0.000 0.000 0.000
Tc: 0.500 0.500 0.500
Te: 0.100 0.100 0.100
Te: 0.900 0.900 0.900

(17)
Compound: ZrTcTe2
Source: Alexandria
Functional: GGA-PBE
Structure: relaxed

crystal system	trigonal
ΔE to the lowest computed polymorph	60.50	kJ/mol of atoms
space-group type	No. 166

Unit cell a=9.632 b=9.632 c=9.632 alpha=20.28 beta=20.28 gamma=20.28
Fractional positions:
Zr: 0.000 0.000 0.000
Tc: 0.500 0.500 0.500
Te: 0.410 0.410 0.410
Te: 0.590 0.590 0.590

(18)
Compound: ZrTc2Te
Source: Alexandria
Functional: GGA-PBE
Structure: relaxed

crystal system	orthorhombic
final energy	-7.969	eV/atom
space-group type	No. 47

Unit cell a=3.419 b=4.313 c=4.882 alpha=90.00 beta=90.00 gamma=90.00
Fractional positions:
Zr: 0.000 0.000 0.000
Tc: 0.000 0.500 0.500
Tc: 0.500 0.500 0.000
Te: 0.500 0.000 0.500

(19)
Compound: ZrTc2Te
Source: Alexandria
Functional: GGA-PBE
Structure: relaxed

crystal system	trigonal
final energy	-7.851	eV/atom
space-group type	No. 166

Unit cell a=8.512 b=8.512 c=8.512 alpha=21.85 beta=21.85 gamma=21.85
Fractional positions:
Zr: 0.000 0.000 0.000
Tc: 0.250 0.250 0.250
Tc: 0.750 0.750 0.750
Te: 0.500 0.500 0.500

(20)
Compound: ZrTcTe2
Source: Alexandria
Functional: GGA-PBE
Structure: relaxed

crystal system	monoclinic
ΔE to the lowest computed polymorph	33.83	kJ/mol of atoms
space-group type	No. 12

Unit cell a=4.451 b=4.451 c=6.265 alpha=101.63 beta=101.63 gamma=45.91
Fractional positions:
Zr: 0.000 0.000 0.000
Tc: 0.500 0.500 0.500
Te: 0.245 0.245 0.723
Te: 0.755 0.755 0.277

(21)
Compound: ZrTcTe2
Source: Alexandria
Functional: GGA-PBE
Structure: relaxed

crystal system	monoclinic
ΔE to the lowest computed polymorph	62.48	kJ/mol of atoms
space-group type	No. 12

Unit cell a=5.495 b=5.495 c=3.678 alpha=105.61 beta=105.61 gamma=113.41
Fractional positions:
Zr: 0.000 0.000 0.000
Tc: 0.500 0.500 0.000
Te: 0.000 0.500 0.500
Te: 0.500 0.000 0.500

(22)
Compound: ZrTcTe2
Source: Alexandria
Functional: GGA-PBE
Structure: relaxed

crystal system	tetragonal
ΔE to the lowest computed polymorph	53.13	kJ/mol of atoms
space-group type	No. 122

Unit cell a=8.992 b=8.992 c=8.992 alpha=147.58 beta=147.58 gamma=46.51
Fractional positions:
Zr: 0.000 0.000 0.000
Zr: 0.750 0.250 0.500
Tc: 0.250 0.750 0.500
Tc: 0.500 0.500 0.000
Te: 0.159 0.625 0.034
Te: 0.375 0.409 0.534
Te: 0.591 0.125 0.966
Te: 0.875 0.841 0.466

(23)
Compound: ZrTcTe2
Source: Alexandria
Functional: GGA-PBE
Structure: relaxed

crystal system	tetragonal
ΔE to the lowest computed polymorph	48.92	kJ/mol of atoms
space-group type	No. 119

Unit cell a=5.394 b=5.394 c=5.394 alpha=132.32 beta=132.32 gamma=69.73
Fractional positions:
Zr: 0.000 0.000 0.000
Tc: 0.250 0.750 0.500
Te: 0.500 0.500 0.000
Te: 0.750 0.250 0.500

(24)
Compound: ZrTc2Te
Source: Alexandria
Functional: GGA-PBE
Structure: relaxed

crystal system	monoclinic
final energy	-7.959	eV/atom
space-group type	No. 10

Unit cell a=3.278 b=4.621 c=5.051 alpha=90.00 beta=91.38 gamma=90.00
Fractional positions:
Zr: 0.000 0.000 0.000
Tc: 0.351 0.500 0.778
Tc: 0.649 0.500 0.222
Te: 0.500 0.000 0.500

(25)
Compound: ZrTc2Te
Source: Alexandria
Functional: GGA-PBE
Structure: relaxed

crystal system	orthorhombic
final energy	-8.004	eV/atom
space-group type	No. 71

Unit cell a=5.382 b=5.382 c=5.382 alpha=142.79 beta=129.82 gamma=64.10
Fractional positions:
Zr: 0.000 0.000 0.000
Tc: 0.256 0.756 0.500
Tc: 0.744 0.244 0.500
Te: 0.500 0.500 0.000

(26)
Compound: ZrTcTe2
Source: Alexandria
Functional: GGA-PBE
Structure: relaxed

crystal system	cubic
ΔE to the lowest computed polymorph	29.30	kJ/mol of atoms
space-group type	No. 225

Unit cell a=4.875 b=4.875 c=4.875 alpha=60.00 beta=60.00 gamma=60.00
Fractional positions:
Zr: 0.000 0.000 0.000
Tc: 0.500 0.500 0.500
Te: 0.250 0.250 0.250
Te: 0.750 0.750 0.750

(27)
Compound: ZrTcTe2
Source: Alexandria
Functional: GGA-PBE
Structure: relaxed

crystal system	cubic
ΔE to the lowest computed polymorph	71.42	kJ/mol of atoms
space-group type	No. 216

Unit cell a=4.985 b=4.985 c=4.985 alpha=60.00 beta=60.00 gamma=60.00
Fractional positions:
Zr: 0.000 0.000 0.000
Tc: 0.250 0.250 0.250
Te: 0.500 0.500 0.500
Te: 0.750 0.750 0.750

(28)
Compound: ZrTc2Te
Source: Alexandria
Functional: GGA-PBE
Structure: relaxed

crystal system	tetragonal
final energy	-8.076	eV/atom
space-group type	No. 99

Unit cell a=3.170 b=3.170 c=7.419 alpha=90.00 beta=90.00 gamma=90.00
Fractional positions:
Zr: 0.000 0.000 0.000
Tc: 0.000 0.000 0.441
Tc: 0.500 0.500 0.252
Te: 0.500 0.500 0.705

(29)
Compound: ZrTcTe2
Source: Alexandria
Functional: GGA-PBE
Structure: relaxed

crystal system	monoclinic
ΔE to the lowest computed polymorph	19.92	kJ/mol of atoms
space-group type	No. 8

Unit cell a=5.243 b=5.243 c=4.980 alpha=102.73 beta=102.73 gamma=39.92
Fractional positions:
Zr: 0.000 0.000 0.000
Tc: 0.782 0.782 0.341
Te: 0.266 0.266 0.893
Te: 0.506 0.506 0.493

(30)
Compound: ZrTc2Te
Source: Alexandria
Functional: GGA-PBE
Structure: relaxed

crystal system	tetragonal
final energy	-8.241	eV/atom
space-group type	No. 123

Unit cell a=4.555 b=4.555 c=3.356 alpha=90.00 beta=90.00 gamma=90.00
Fractional positions:
Zr: 0.000 0.000 0.000
Tc: 0.000 0.500 0.500
Tc: 0.500 0.000 0.500
Te: 0.500 0.500 0.000